Entry A
Compound: Y2As2H
Source: Alexandria via LeMat-Bulk
Functional: PBE-GGA
Structure: relaxed

Its density of states at the Fermi level is 2.78 states/eV per cell.

Unit cell a=7.0831 b=7.0831 c=4.1159 alpha=90.00 beta=90.00 gamma=90.00
Last column: nearest neighbours and their distance in Å.
Space group P4/mbm (No. 127)
Asymmetric unit:
Y 0.1816 0.3184 0.0000  2 H 2.60, 2 As 2.82
As 0.1261 0.6261 0.5000  1 As 2.53, 2 Y 2.82
H 0.0000 0.0000 0.0000  4 Y 2.60

***

Entry B
Compound: Y2As2H
Source: Alexandria via LeMat-Bulk
Functional: PBE-GGA
Structure: relaxed

Its density of states at the Fermi level is 12.84 states/eV per cell.

Unit cell a=4.1636 b=14.3709 c=6.9242 alpha=90.00 beta=90.00 gamma=90.00
Last column: nearest neighbours and their distance in Å.
Space group Cmc2_1 (No. 36)
Asymmetric unit:
Y 0.0000 0.0539 0.0000  2 H 2.38-2.45
Y 0.0000 0.3355 0.8848  2 H 2.33
As 0.0000 0.3001 0.4693  1 As 2.89, 5 Y 2.91-2.96, 1 H 3.08
As 0.0000 0.4585 0.2132  6 Y 2.88-3.19, 1 As 2.89, 2 H 2.99
H 0.0000 0.0964 0.3323  4 Y 2.33-2.45

***

Most stable to least stable, the ends of the list are entry B and entry A.

***

Entry A
Compound: YAsH
Source: Alexandria via LeMat-Bulk
Functional: PBE-GGA
Structure: relaxed

Its density of states at the Fermi level is 1.85 states/eV per cell.

Unit cell a=7.2652 b=8.5568 c=20.8792 alpha=87.54 beta=81.91 gamma=89.22
Last column: nearest neighbours and their distance in Å.
Space group P-1 (No. 2)
Asymmetric unit:
Y 0.0300 0.1151 0.0840  2 H 2.24-2.43
Y 0.0954 0.5998 0.0820  2 H 2.18-2.22
Y 0.1078 0.8753 0.4188  1 H 2.79, 6 As 2.91-3.01
Y 0.1485 0.4100 0.4205  2 H 2.05-2.19
Y 0.1534 0.3509 0.2435  2 H 2.12-2.27
Y 0.1710 0.8623 0.2449  3 H 2.35-2.44
Y 0.3307 0.4025 0.7444  1 H 2.07
Y 0.3416 0.8968 0.7651  3 H 2.24-2.39
Y 0.3839 0.3593 0.5698  2 H 2.06-2.25
Y 0.3980 0.8939 0.5844  1 H 2.58, 1 As 2.88
Y 0.4408 0.1098 0.9164  1 H 2.28
Y 0.4581 0.6203 0.9242  3 H 2.21-2.25
As 0.0185 0.3628 0.6614  4 H 2.87-2.99, 5 Y 2.90-3.07
As 0.0504 0.9085 0.6774  1 H 1.65
As 0.1299 0.1556 0.8356  1 H 1.67
As 0.1494 0.6318 0.8367  6 Y 2.92-3.08, 3 H 2.93-3.03
As 0.2284 0.3549 0.9940  1 H 1.62
As 0.2323 0.6486 0.5123  1 H 1.63
As 0.2461 0.1189 0.4963  6 Y 2.88-3.02, 3 H 2.91-3.17
As 0.2549 0.8763 0.0049  3 H 2.73-2.86, 6 Y 2.88-3.06
As 0.3440 0.1159 0.1596  3 H 2.74-2.90, 6 Y 2.86-3.04
As 0.3785 0.6198 0.1704  1 H 1.69
As 0.4615 0.3289 0.3230  1 H 1.68
As 0.4708 0.8651 0.3361  6 Y 2.94-3.12, 4 H 2.96-3.23
H 0.0294 0.3110 0.8034  1 As 1.67
H 0.0659 0.3032 0.3434  2 Y 2.05-2.12, 1 As 2.10
H 0.1007 0.7833 0.5488  1 As 1.63
H 0.1089 0.2130 0.9728  1 As 1.62
H 0.1304 0.0576 0.7128  1 As 1.65
H 0.2602 0.9430 0.8702  1 As 2.18, 3 Y 2.24-2.28
H 0.2614 0.4287 0.1293  1 As 2.12, 2 Y 2.18-2.23
H 0.3625 0.1902 0.2851  1 As 1.68
H 0.3818 0.5647 0.0309  3 Y 2.21-2.25, 2 H 2.30-2.38, 1 As 2.34
H 0.3849 0.4916 0.6501  1 As 2.05, 2 Y 2.06-2.07
H 0.4070 0.4510 0.4602  3 Y 2.19-2.37, 1 As 2.32
H 0.4709 0.7765 0.2008  1 As 1.69

***

Entry B
Compound: YAsH
Source: Alexandria via LeMat-Bulk
Functional: PBE-GGA
Structure: relaxed

Its density of states at the Fermi level is 1.26 states/eV per cell.

Unit cell a=3.6977 b=3.6977 c=4.2727 alpha=90.00 beta=90.00 gamma=120.00
Last column: nearest neighbours and their distance in Å.
Space group P-6m2 (No. 187)
Asymmetric unit:
Y 0.0000 0.0000 0.0000  3 H 2.13
As 0.3333 0.6667 0.5000  6 Y 3.02, 6 H 3.02
H 0.6667 0.3333 0.0000  3 Y 2.13

***

Entry C
Compound: YAsH
Source: Alexandria via LeMat-Bulk
Functional: PBE-GGA
Structure: relaxed

Its density of states at the Fermi level is 0.40 states/eV per cell.

Unit cell a=3.8905 b=5.0892 c=5.5259 alpha=93.00 beta=110.56 gamma=90.08
Last column: nearest neighbours and their distance in Å.
Space group P-1 (No. 2)
Asymmetric unit:
Y 0.1439 0.2694 0.2875  3 H 2.16-2.18
As 0.4286 0.1925 0.8554  1 As 2.53, 1 H 2.68
H 0.2798 0.6072 0.5597  3 Y 2.16-2.18, 2 H 2.30

***

Most stable to least stable, the ends of the list are entry C and entry B.

***

Entry A
Compound: YAs3H
Source: Alexandria via LeMat-Bulk
Functional: PBE-GGA
Structure: relaxed

Its density of states at the Fermi level is 3.01 states/eV per cell.

Unit cell a=5.4673 b=5.4673 c=5.4673 alpha=90.00 beta=90.00 gamma=90.00
Last column: nearest neighbours and their distance in Å.
Space group Pm-3m (No. 221)
Asymmetric unit:
Y 0.0000 0.0000 0.0000  6 As 2.73
As 0.0000 0.0000 0.5000  2 Y 2.73
H 0.5000 0.5000 0.5000  12 As 3.87

***

Entry B
Compound: YAs3H
Source: Alexandria via LeMat-Bulk
Functional: PBE-GGA
Structure: relaxed

Its density of states at the Fermi level is 1.35 states/eV per cell.

Unit cell a=4.4096 b=4.4096 c=4.4096 alpha=90.00 beta=90.00 gamma=90.00
Last column: nearest neighbours and their distance in Å.
Space group Pm-3m (No. 221)
Asymmetric unit:
Y 0.0000 0.0000 0.0000  12 As 3.12
As 0.0000 0.5000 0.5000  2 H 2.20
H 0.5000 0.5000 0.5000  6 As 2.20

***

Most stable to least stable, the ends of the list are entry B and entry A.

***

Entry A
Compound: YAs2H
Source: Alexandria via LeMat-Bulk
Functional: PBE-GGA
Structure: relaxed

Its density of states at the Fermi level is 12.67 states/eV per cell.

Unit cell a=6.7811 b=6.7811 c=6.7811 alpha=90.00 beta=90.00 gamma=90.00
Last column: nearest neighbours and their distance in Å.
Space group Fm-3m (No. 225)
Asymmetric unit:
Y 0.0000 0.0000 0.0000  8 As 2.94
As 0.2500 0.2500 0.2500  4 H 2.94, 4 Y 2.94
H 0.0000 0.0000 0.5000  8 As 2.94

***

Entry B
Compound: YAs2H
Source: Alexandria via LeMat-Bulk
Functional: PBE-GGA
Structure: relaxed

Its density of states at the Fermi level is 5.59 states/eV per cell.

Unit cell a=6.4699 b=6.4699 c=6.6737 alpha=90.00 beta=90.00 gamma=90.00
Last column: nearest neighbours and their distance in Å.
Space group I-42d (No. 122)
Asymmetric unit:
Y 0.0000 0.0000 0.0000  8 As 2.97-3.11
As 0.1375 0.7500 0.6250  2 H 2.03
H 0.0000 0.0000 0.5000  4 As 2.03

***

Most stable to least stable, the ends of the list are entry B and entry A.

***

Entry A
Compound: YAsH2
Source: Alexandria via LeMat-Bulk
Functional: PBE-GGA
Structure: relaxed

Its density of states at the Fermi level is 2.30 states/eV per cell.

Unit cell a=5.8732 b=5.8732 c=5.8732 alpha=90.00 beta=90.00 gamma=90.00
Last column: nearest neighbours and their distance in Å.
Space group Fm-3m (No. 225)
Asymmetric unit:
Y 0.0000 0.0000 0.0000  8 H 2.54
As 0.0000 0.0000 0.5000  8 H 2.54
H 0.2500 0.2500 0.2500  4 As 2.54, 4 Y 2.54

***

Entry B
Compound: YAsH2
Source: Alexandria via LeMat-Bulk
Functional: PBE-GGA
Structure: relaxed

Its density of states at the Fermi level is 0.47 states/eV per cell.

Unit cell a=4.0811 b=4.0811 c=13.5453 alpha=90.00 beta=90.00 gamma=90.00
Last column: nearest neighbours and their distance in Å.
Space group I-42d (No. 122)
Asymmetric unit:
Y 0.0000 0.0000 0.0000  4 H 2.22
As 0.0000 0.0000 0.5000  4 H 2.23
H 0.2459 0.2500 0.1250  2 Y 2.22, 2 As 2.23

***

Most stable to least stable, the ends of the list are entry B and entry A.

***

Entry A
Compound: ZnAsH
Source: Alexandria via LeMat-Bulk
Functional: PBE-GGA
Structure: relaxed

Its density of states at the Fermi level is 0.00 states/eV per cell.

Unit cell a=8.1436 b=6.3971 c=4.4110 alpha=90.00 beta=90.00 gamma=90.00
Last column: nearest neighbours and their distance in Å.
Space group Pnma (No. 62)
Asymmetric unit:
Zn 0.0000 0.0000 0.0000  2 As 2.42, 2 H 2.64
As 0.1731 0.2500 0.2584  1 H 1.56
H 0.0547 0.2500 0.5357  1 As 1.56

***

Entry B
Compound: ZnAsH
Source: Alexandria via LeMat-Bulk
Functional: PBE-GGA
Structure: relaxed

Its density of states at the Fermi level is 0.01 states/eV per cell.

Unit cell a=7.8748 b=3.7098 c=7.5903 alpha=90.00 beta=90.00 gamma=90.00
Last column: nearest neighbours and their distance in Å.
Space group Pnma (No. 62)
Asymmetric unit:
Zn 0.1042 0.2500 0.1854  1 H 2.02
As 0.1873 0.7500 0.9195  2 H 1.87
H 0.2046 0.2500 0.9402  2 As 1.87, 1 Zn 2.02

***

Entry C
Compound: ZnAsH
Source: Alexandria via LeMat-Bulk
Functional: PBE-GGA
Structure: relaxed

Its density of states at the Fermi level is 0.00 states/eV per cell.

Unit cell a=6.8920 b=4.3217 c=6.9205 alpha=90.00 beta=90.00 gamma=90.00
Last column: nearest neighbours and their distance in Å.
Space group Pnma (No. 62)
Asymmetric unit:
Zn 0.1372 0.2500 0.0123  4 As 2.51-2.72
As 0.2328 0.7500 0.8529  1 H 1.54
H 0.0927 0.2500 0.4917  1 As 1.54

***

Most stable to least stable, the ends of the list are entry C and entry B.

***

Entry A
Compound: ZnAsH
Source: Alexandria via LeMat-Bulk
Functional: PBE-GGA
Structure: relaxed

Its density of states at the Fermi level is 1.54 states/eV per cell.

Unit cell a=5.3978 b=5.2284 c=6.5411 alpha=90.00 beta=94.83 gamma=90.00
Last column: nearest neighbours and their distance in Å.
Space group C2/m (No. 12)
Asymmetric unit:
Zn 0.1870 0.0000 0.1944  1 H 2.29
As 0.1872 0.5000 0.2186  1 H 1.57
H 0.2333 0.0000 0.5454  1 As 1.57

***

Entry B
Compound: ZnAsH
Source: Alexandria via LeMat-Bulk
Functional: PBE-GGA
Structure: relaxed

Its density of states at the Fermi level is 2.18 states/eV per cell.

Unit cell a=7.5610 b=3.7291 c=6.9750 alpha=90.00 beta=90.33 gamma=90.00
Last column: nearest neighbours and their distance in Å.
Space group C2/m (No. 12)
Asymmetric unit:
Zn 0.1499 0.0000 0.3971  1 H 1.92
As 0.1410 0.0000 0.7732  2 H 1.89
H 0.1724 0.5000 0.7988  2 As 1.89, 1 Zn 1.92

***

Most stable to least stable, the ends of the list are entry A and entry B.

***

Entry A
Compound: Zn3AsH
Source: Alexandria via LeMat-Bulk
Functional: PBE-GGA
Structure: relaxed

Its density of states at the Fermi level is 0.92 states/eV per cell.

Unit cell a=5.0111 b=5.0111 c=5.0111 alpha=90.00 beta=90.00 gamma=90.00
Last column: nearest neighbours and their distance in Å.
Space group Pm-3m (No. 221)
Asymmetric unit:
Zn 0.0000 0.0000 0.5000  2 As 2.51
As 0.0000 0.0000 0.0000  6 Zn 2.51
H 0.5000 0.5000 0.5000  12 Zn 3.54

***

Entry B
Compound: Zn3AsH
Source: Alexandria via LeMat-Bulk
Functional: PBE-GGA
Structure: relaxed

Its density of states at the Fermi level is 1.42 states/eV per cell.

Unit cell a=4.1429 b=4.1429 c=4.1429 alpha=90.00 beta=90.00 gamma=90.00
Last column: nearest neighbours and their distance in Å.
Space group Pm-3m (No. 221)
Asymmetric unit:
Zn 0.0000 0.0000 0.5000  2 H 2.07
As 0.5000 0.5000 0.5000  12 Zn 2.93
H 0.0000 0.0000 0.0000  6 Zn 2.07

***

Most stable to least stable, the ends of the list are entry B and entry A.